Entry from the Alexandria database: a geometry-optimized Pm2VCrO6 structure (PBE with a Hubbard U).

Its total magnetization is 0.500 μB per atom. As for the final energy: -8.029 eV/atom.

The space group is P4mm (No. 99) and the conventional cell measures 5.487, 5.487 and 4.098 Å, with angles of 90.00, 90.00 and 90.00 degrees. The distinct sites, in fractional coordinates, are Pm at (0.000, 0.500, 0.000), V at (0.000, 0.000, 0.577), Cr at (0.500, 0.500, 0.576), O at (0.000, 0.000, 0.087), O at (0.251, 0.251, 0.627) and O at (0.500, 0.500, 0.094).